Entry 1:
KNbPI2 | Alexandria via LeMat-Bulk | PBE-GGA | relaxed; VASP energy = -3.310 eV per atom
1.0
5.529 0.000 0.000
0.000 5.529 0.000
0.000 0.000 8.106
K Nb P I
1 1 1 2
direct
0.000 0.000 0.000 K
0.000 0.000 0.500 Nb
0.500 0.500 0.000 P
0.000 0.500 0.500 I
0.500 0.000 0.500 I

---

Entry 2:
B2Mo4C | Alexandria via LeMat-Bulk | PBE-GGA | relaxed; E_form = 55 kJ per mole of atoms; VASP energy = -8.848 eV per atom
1.0
-1.969 1.969 5.912
1.969 -1.969 5.912
1.969 1.969 -5.912
B Mo C
2 4 1
direct
0.134 0.134 0.000 B
0.866 0.866 0.000 B
0.000 0.500 0.500 Mo
0.322 0.322 0.000 Mo
0.500 0.000 0.500 Mo
0.678 0.678 0.000 Mo
0.500 0.500 0.000 C

---

Entry 3:
ScSiRu2Cl | Alexandria via LeMat-Bulk | PBE-GGA | relaxed; VASP energy = -5.715 eV per atom
1.0
4.366 0.000 0.000
0.000 4.366 0.000
0.000 0.000 4.661
Sc Si Ru Cl
1 1 2 1
direct
0.000 0.000 0.000 Sc
0.500 0.500 0.000 Si
0.000 0.500 0.500 Ru
0.500 0.000 0.500 Ru
0.500 0.500 0.500 Cl

---

Entry 4:
HoThTiIn | Alexandria via LeMat-Bulk | PBE-GGA | relaxed; E_form = 0 kJ per mole of atoms; VASP energy = -5.656 eV per atom
1.0
0.000 3.765 3.765
3.765 0.000 3.765
3.765 3.765 0.000
Ho Th Ti In
1 1 1 1
direct
0.000 0.000 0.000 Ho
0.500 0.500 0.500 Th
0.750 0.750 0.750 Ti
0.250 0.250 0.250 In

---

Entry 5:
NpCuGe2 | Alexandria via LeMat-Bulk | PBE-GGA | relaxed; E_form = -6 kJ per mole of atoms; VASP energy = -6.634 eV per atom
1.0
4.291 0.000 0.000
0.000 4.291 0.000
0.000 0.000 3.985
Np Cu Ge
1 1 2
direct
0.000 0.000 0.000 Np
0.500 0.500 0.000 Cu
0.000 0.500 0.500 Ge
0.500 0.000 0.500 Ge

---

Entry 6:
AlGeMo | Alexandria via LeMat-Bulk | PBE-GGA | relaxed; E_form = -1 kJ per mole of atoms; VASP energy = -6.404 eV per atom
1.0
4.428 -2.332 0.000
4.428 2.332 0.000
-0.414 0.000 4.860
Al Ge Mo
2 2 2
direct
0.000 0.000 0.000 Al
0.566 0.566 0.384 Al
0.301 0.301 0.158 Ge
0.700 0.700 0.886 Ge
0.176 0.176 0.611 Mo
0.882 0.882 0.457 Mo

---

Entry 7:
KSr | Alexandria via LeMat-Bulk | PBE-GGA | relaxed; E_form = 13 kJ per mole of atoms; VASP energy = -1.253 eV per atom
1.0
0.000 5.009 5.009
5.009 0.000 5.009
5.009 5.009 0.000
K Sr
2 2
direct
0.125 0.125 0.125 K
0.875 0.875 0.875 K
0.375 0.375 0.375 Sr
0.625 0.625 0.625 Sr

---

Entry 8:
CuGeSbO5 | Alexandria via LeMat-Bulk | PBE-GGA | relaxed; VASP energy = -5.920 eV per atom
1.0
3.107 -4.704 0.000
3.107 4.704 0.000
-2.993 0.000 6.823
Cu Ge Sb O
2 2 2 10
direct
0.192 0.808 0.750 Cu
0.808 0.192 0.250 Cu
0.201 0.799 0.250 Ge
0.799 0.201 0.750 Ge
0.500 0.500 0.000 Sb
0.500 0.500 0.500 Sb
0.094 0.276 0.942 O
0.159 0.527 0.354 O
0.276 0.094 0.442 O
0.416 0.584 0.750 O
0.473 0.841 0.146 O
0.527 0.159 0.854 O
0.584 0.416 0.250 O
0.724 0.906 0.558 O
0.841 0.473 0.646 O
0.906 0.724 0.058 O